Entry 1:
CaMnI: optimized geometry, PBE.

The structure in POSCAR format:
```
CaMnI
1.0
3.837 0.000 0.000
0.000 1.908 6.242
0.000 -1.908 6.242
Ca Mn I
1 1 1
direct
0.000 0.000 0.000
0.500 0.650 0.650
0.500 0.341 0.341
```

## Properties
Total magnetization in μB/f.u.: 4.1
Space group: Amm2 (38)
DOS at the Fermi energy in states/eV per cell: 1.822
Formation energy without anion corrections in eV/atom: -0.03


Entry 2:
MnNb3V: optimized geometry, PBE.

The structure in POSCAR format:
```
MnNb3V
1.0
4.593 0.000 0.000
0.000 4.593 0.000
0.000 0.000 4.593
Mn Nb V
1 3 1
direct
0.000 0.000 0.000
0.000 0.000 0.500
0.000 0.500 0.000
0.500 0.000 0.000
0.500 0.500 0.500
```

## Properties
Total magnetization in μB/f.u.: 2.7
Energy of formation in eV/atom: 0.890
Energy above the lowest structure with this stoichiometry in meV per atom: 0
Space group: Pm-3m (221)
DOS at the Fermi energy in states/eV per cell: 6.471


Entry 3:
Li2Ti2AsPO10: optimized geometry, PBE.

The structure in POSCAR format:
```
Li2Ti2AsPO10
1.0
6.546 0.000 0.000
0.000 7.460 0.000
0.000 0.000 7.579
Li Ti As P O
4 4 2 2 20
direct
0.238 0.238 0.000
0.238 0.762 0.500
0.762 0.238 0.000
0.762 0.762 0.500
0.000 0.471 0.335
0.000 0.529 0.835
0.500 0.030 0.668
0.500 0.970 0.168
0.500 0.380 0.376
0.500 0.620 0.876
0.000 0.128 0.629
0.000 0.872 0.129
0.000 0.245 0.460
0.000 0.249 0.797
0.000 0.394 0.121
0.000 0.606 0.621
0.000 0.751 0.297
0.000 0.755 0.960
0.192 0.006 0.629
0.192 0.994 0.129
0.294 0.480 0.875
0.294 0.520 0.375
0.500 0.080 0.891
0.500 0.245 0.191
0.500 0.266 0.571
0.500 0.734 0.071
0.500 0.755 0.691
0.500 0.920 0.391
0.706 0.480 0.875
0.706 0.520 0.375
0.808 0.006 0.629
0.808 0.994 0.129
```

## Properties
Total magnetization in μB/f.u.: 0.0
Space group: Pmc2_1 (26)
DOS at the Fermi energy in states/eV per cell: 0.000
Formation energy without anion corrections in eV/atom: -2.36


Entry 4:
BeInNi2: optimized geometry, PBE.

The structure in POSCAR format:
```
BeInNi2
1.0
-1.892 1.892 8.083
1.892 -1.892 8.083
1.892 1.892 -8.083
Be In Ni
2 2 4
direct
0.000 0.000 0.000
0.750 0.250 0.500
0.250 0.750 0.500
0.500 0.500 0.000
0.053 0.625 0.928
0.375 0.303 0.428
0.697 0.125 0.072
0.875 0.947 0.572
```

## Properties
Total magnetization in μB/f.u.: 0.0
Energy of formation in eV/atom: 0.320
Energy above the lowest structure with this stoichiometry in meV per atom: 478
Space group: I-42d (122)
DOS at the Fermi energy in states/eV per cell: 3.676


Entry 5:
P2Os: optimized geometry, PBE.

The structure in POSCAR format:
```
P2Os
1.0
1.529 -5.759 0.000
1.529 5.759 0.000
0.000 0.000 4.691
P Os
4 2
direct
0.024 0.976 0.750
0.362 0.638 0.750
0.638 0.362 0.250
0.976 0.024 0.250
0.309 0.691 0.250
0.691 0.309 0.750
```

## Properties
Total magnetization in μB/f.u.: 0.0
Energy of formation in eV/atom: -0.003
Space group: Cmcm (63)
DOS at the Fermi energy in states/eV per cell: 2.453


Entry 6:
AlTcS2N: optimized geometry, PBE.

The structure in POSCAR format:
```
AlTcS2N
1.0
4.714 0.000 0.000
0.000 4.714 0.000
0.000 0.000 3.572
Al Tc S N
1 1 2 1
direct
0.000 0.000 0.000
0.500 0.500 0.500
0.000 0.500 0.000
0.500 0.000 0.000
0.000 0.000 0.500
```

## Properties
Total magnetization in μB/f.u.: 2.1
Energy above the lowest structure with this stoichiometry in meV per atom: 386
Space group: P4/mmm (123)
DOS at the Fermi energy in states/eV per cell: 2.807
Formation energy without anion corrections in eV/atom: 0.61


Entry 7:
LiGa4Ir2Rh: optimized geometry, PBE.

The structure in POSCAR format:
```
LiGa4Ir2Rh
1.0
2.144 1.238 7.070
-2.144 1.238 7.070
0.000 -2.475 7.070
Li Ga Ir Rh
1 4 2 1
direct
0.000 0.000 0.000
0.124 0.124 0.124
0.374 0.374 0.374
0.626 0.626 0.626
0.876 0.876 0.876
0.251 0.251 0.251
0.749 0.749 0.749
0.500 0.500 0.500
```

## Properties
Total magnetization in μB/f.u.: 0.0
Energy of formation in eV/atom: -0.532
Space group: R-3m (166)
DOS at the Fermi energy in states/eV per cell: 2.571


Entry 8:
ThCdI: optimized geometry, PBE.

The structure in POSCAR format:
```
ThCdI
1.0
4.104 0.000 0.000
0.000 4.104 0.000
0.000 0.000 11.972
Th Cd I
2 2 2
direct
0.250 0.250 0.220
0.750 0.750 0.780
0.250 0.750 0.000
0.750 0.250 0.000
0.250 0.250 0.649
0.750 0.750 0.351
```

## Properties
Total magnetization in μB/f.u.: 0.0
Space group: P4/nmm (129)
DOS at the Fermi energy in states/eV per cell: 6.187
Formation energy without anion corrections in eV/atom: -0.31